Here is crystalline CaZrPt at its relaxed geometry from Alexandria via LeMat-Bulk. Energies are from PBE.

a b c (Å): 3.503 3.503 12.265
angles (deg): 90.00 90.00 90.00
Space group I4mm (No. 107)
Inequivalent atoms, fractional coordinates:
Ca  0.000  0.000  0.000 [2 per cell]
Zr  0.000  0.000  0.727 [2 per cell]
Pt  0.000  0.000  0.320 [2 per cell]

Computed properties:
Its final energy is -36.50 eV for the cell shown. The energy relative to the lowest polymorph listed for this composition is 0.59 eV per formula unit. The value obtained for the energy of formation is -0.5536 eV/atom. The calculation puts the density at 7.2 g cm⁻³. The calculation puts the density of states at the Fermi level at 3.9 states/eV/f.u.